A relaxed structure of RhS2BrN. Source: Alexandria via LeMat-Bulk, functional GGA-PBE.

Geometry as CIF:
```
data_RhS2BrN
_chemical_formula_sum 'Rh1 S2 Br1 N1'
_symmetry_space_group_name_H-M 'P 4/m m m'
_symmetry_Int_Tables_number 123
_symmetry_space_group_name_Hall '-P 4 2'
_cell_length_a 4.9106
_cell_length_b 4.9106
_cell_length_c 3.5806
_cell_angle_alpha 90.00
_cell_angle_beta 90.00
_cell_angle_gamma 90.00
loop_
_atom_site_label
_atom_site_type_symbol
_atom_site_fract_x
_atom_site_fract_y
_atom_site_fract_z
Rh1 Rh 0.0000 0.0000 0.0000
S1 S 0.0000 0.5000 0.5000
Br1 Br 0.5000 0.5000 0.5000
N1 N 0.5000 0.5000 0.0000
```

Properties
As for the uncorrected formation energy: 1.875 eV/atom. The value obtained for the density of states at the Fermi level is 5.50 states/eV/cell. As for the energy above the most stable polymorph in this dataset: 1086 meV per atom. For the density, the calculation gives 5.02 Mg/m³. The calculation puts the total energy at -16.23 eV for the cell shown.